Compound: SmYAl3
Source: Alexandria
Functional: PBE
Structure: optimized geometry

a b c (Å): 13.9546 13.9546 4.5466
angles (deg): 90.00 90.00 164.91
With the nearest neighbours (Å) after each atom.
Element x y z (fractional)
Sm 0.0723 0.9277 0.7500  12 Al 3.20-3.32
Sm 0.9277 0.0723 0.2500  12 Al 3.20-3.32
Y 0.2107 0.7893 0.2500  7 Al 3.11-3.24
Y 0.7893 0.2107 0.7500  7 Al 3.11-3.24
Al 0.3278 0.6722 0.2500  2 Al 2.70
Al 0.3803 0.6197 0.7500  3 Al 2.65-2.70
Al 0.4760 0.5240 0.7500  3 Al 2.63-2.65
Al 0.5240 0.4760 0.2500  3 Al 2.63-2.65
Al 0.6197 0.3803 0.2500  3 Al 2.65-2.70
Al 0.6722 0.3278 0.7500  2 Al 2.70

## Properties
- Density: 4.61 g/cm³
- Total energy: -4.945 eV/atom
- Calculated formation energy: -0.463 eV/atom
- Space-group type: Cmcm
- Crystal system: orthorhombic

Compound: Sm6Y2Al
Source: Alexandria
Functional: PBE
Structure: optimized geometry

a b c (Å): 10.2374 10.2618 5.4513
angles (deg): 90.00 90.00 90.00
With the nearest neighbours (Å) after each atom.
Element x y z (fractional)
Sm 0.0406 0.1865 0.0000  1 Al 3.24, 3 Y 3.35-3.40, 1 Sm 3.51
Sm 0.1230 0.6209 0.5000  2 Al 3.25, 3 Sm 3.50-3.54, 4 Y 3.59-3.60
Sm 0.1864 0.9557 0.5000  1 Al 3.24, 3 Y 3.36-3.41, 1 Sm 3.50
Sm 0.3136 0.4557 0.0000  1 Al 3.24, 3 Y 3.36-3.41, 1 Sm 3.50
Sm 0.3770 0.1209 0.0000  2 Al 3.25, 3 Sm 3.50-3.54, 4 Y 3.59-3.60
Sm 0.4594 0.6865 0.5000  1 Al 3.24, 3 Y 3.35-3.40, 1 Sm 3.51
Sm 0.5406 0.3135 0.5000  1 Al 3.24, 3 Y 3.35-3.40, 1 Sm 3.51
Sm 0.6230 0.8791 0.0000  2 Al 3.25, 3 Sm 3.50-3.54, 4 Y 3.59-3.60
Sm 0.6864 0.5443 0.0000  1 Al 3.24, 3 Y 3.36-3.41, 1 Sm 3.50
Sm 0.8136 0.0443 0.5000  1 Al 3.24, 3 Y 3.36-3.41, 1 Sm 3.50
Sm 0.8770 0.3791 0.5000  2 Al 3.25, 3 Sm 3.50-3.54, 4 Y 3.59-3.60
Sm 0.9594 0.8135 0.0000  1 Al 3.24, 3 Y 3.35-3.40, 1 Sm 3.51
Y 0.2147 0.2820 0.5000  10 Sm 3.35-3.60
Y 0.2853 0.7820 0.0000  10 Sm 3.35-3.60
Y 0.7147 0.2180 0.0000  10 Sm 3.35-3.60
Y 0.7853 0.7180 0.5000  10 Sm 3.35-3.60
Al 0.0000 0.5000 0.0000  8 Sm 3.24-3.25
Al 0.5000 0.0000 0.5000  8 Sm 3.24-3.25

## Properties
- Density: 6.42 g/cm³
- Total energy: -5.002 eV/atom
- Calculated formation energy: -0.004 eV/atom
- Space-group type: Pnnm
- Crystal system: orthorhombic

Compound: Sm15Y4Al
Source: Alexandria
Functional: PBE
Structure: optimized geometry

a b c (Å): 5.0439 5.0439 25.4839
angles (deg): 90.00 90.00 90.00
With the nearest neighbours (Å) after each atom.
Element x y z (fractional)
Sm 0.0000 0.0000 0.0000  8 Sm 3.46, 4 Al 3.57
Sm 0.0000 0.0000 0.1945  4 Y 3.57, 8 Sm 3.61-3.63
Sm 0.0000 0.0000 0.3980  4 Y 3.57, 8 Sm 3.61-3.62
Sm 0.0000 0.0000 0.6020  4 Y 3.57, 8 Sm 3.61-3.62
Sm 0.0000 0.0000 0.8055  4 Y 3.57, 8 Sm 3.61-3.63
Sm 0.0000 0.5000 0.0932  2 Al 3.46, 8 Sm 3.46-3.61, 2 Y 3.63
Sm 0.0000 0.5000 0.2968  8 Sm 3.57-3.63, 4 Y 3.60-3.62
Sm 0.0000 0.5000 0.5000  8 Sm 3.57-3.62, 4 Y 3.61
Sm 0.0000 0.5000 0.7032  8 Sm 3.57-3.63, 4 Y 3.60-3.62
Sm 0.0000 0.5000 0.9068  2 Al 3.46, 8 Sm 3.46-3.61, 2 Y 3.63
Sm 0.5000 0.0000 0.0932  2 Al 3.46, 8 Sm 3.46-3.61, 2 Y 3.63
Sm 0.5000 0.0000 0.2968  8 Sm 3.57-3.63, 4 Y 3.60-3.62
Sm 0.5000 0.0000 0.5000  8 Sm 3.57-3.62, 4 Y 3.61
Sm 0.5000 0.0000 0.7032  8 Sm 3.57-3.63, 4 Y 3.60-3.62
Sm 0.5000 0.0000 0.9068  2 Al 3.46, 8 Sm 3.46-3.61, 2 Y 3.63
Y 0.5000 0.5000 0.1957  12 Sm 3.57-3.63
Y 0.5000 0.5000 0.3988  12 Sm 3.57-3.62
Y 0.5000 0.5000 0.6012  12 Sm 3.57-3.62
Y 0.5000 0.5000 0.8043  12 Sm 3.57-3.63
Al 0.5000 0.5000 0.0000  12 Sm 3.46-3.57

## Properties
- Density: 6.76 g/cm³
- Total energy: -5.030 eV/atom
- Calculated formation energy: -0.011 eV/atom
- Space-group type: P4/mmm
- Crystal system: tetragonal

Compound: SmY4Al
Source: Alexandria
Functional: PBE
Structure: optimized geometry

a b c (Å): 8.2539 8.2539 6.2354
angles (deg): 100.29 100.29 114.79
With the nearest neighbours (Å) after each atom.
Element x y z (fractional)
Sm 0.1026 0.8974 0.7500  10 Y 3.44-3.69
Sm 0.8974 0.1026 0.2500  10 Y 3.44-3.69
Y 0.1137 0.3253 0.8673  2 Al 3.18-3.19, 2 Y 3.38-3.51, 2 Sm 3.44-3.55
Y 0.2162 0.5805 0.4481  2 Al 3.07-3.11, 1 Y 3.38
Y 0.3253 0.1137 0.3673  2 Al 3.18-3.19, 2 Y 3.38-3.51, 2 Sm 3.44-3.55
Y 0.4195 0.7838 0.0519  2 Al 3.07-3.11, 1 Y 3.38
Y 0.5805 0.2162 0.9481  2 Al 3.07-3.11, 1 Y 3.38
Y 0.6747 0.8863 0.6327  2 Al 3.18-3.19, 2 Y 3.38-3.51, 2 Sm 3.44-3.55
Y 0.7838 0.4195 0.5519  2 Al 3.07-3.11, 1 Y 3.38
Y 0.8863 0.6747 0.1327  2 Al 3.18-3.19, 2 Y 3.38-3.51, 2 Sm 3.44-3.55
Al 0.4992 0.5008 0.2500  8 Y 3.07-3.19, 2 Al 3.12
Al 0.5008 0.4992 0.7500  8 Y 3.07-3.19, 2 Al 3.12

## Properties
- Density: 4.86 g/cm³
- Total energy: -5.773 eV/atom
- Calculated formation energy: -0.053 eV/atom
- Space-group type: C2/c
- Crystal system: monoclinic

Compound: SmYAl2
Source: Alexandria
Functional: PBE
Structure: optimized geometry

a b c (Å): 5.1576 5.1576 5.1576
angles (deg): 60.00 60.00 60.00
With the nearest neighbours (Å) after each atom.
Element x y z (fractional)
Sm 0.0000 0.0000 0.0000  8 Al 3.16
Y 0.5000 0.5000 0.5000  8 Al 3.16
Al 0.2500 0.2500 0.2500  4 Y 3.16, 4 Sm 3.16
Al 0.7500 0.7500 0.7500  4 Sm 3.16, 4 Y 3.16

## Properties
- Density: 5.02 g/cm³
- Total energy: -5.061 eV/atom
- Calculated formation energy: -0.394 eV/atom
- Space-group type: Fm-3m
- Crystal system: cubic

Compound: Sm7Y12Al
Source: Alexandria
Functional: PBE
Structure: optimized geometry

a b c (Å): 8.7118 8.7118 8.7118
angles (deg): 86.93 86.93 86.93
With the nearest neighbours (Å) after each atom.
Element x y z (fractional)
Sm 0.0000 0.0000 0.0000  6 Y 3.20
Sm 0.1084 0.3571 0.4166  3 Sm 3.39, 6 Y 3.55-3.74
Sm 0.3571 0.4166 0.1084  3 Sm 3.39, 6 Y 3.55-3.74
Sm 0.4166 0.1084 0.3571  3 Sm 3.39, 6 Y 3.55-3.74
Sm 0.5834 0.8916 0.6429  3 Sm 3.39, 6 Y 3.55-3.74
Sm 0.6429 0.5834 0.8916  3 Sm 3.39, 6 Y 3.55-3.74
Sm 0.8916 0.6429 0.5834  3 Sm 3.39, 6 Y 3.55-3.74
Y 0.0056 0.6425 0.1069  4 Y 3.19-3.56, 2 Sm 3.20-3.55
Y 0.1069 0.0056 0.6425  4 Y 3.19-3.56, 2 Sm 3.20-3.55
Y 0.2492 0.7410 0.3645  1 Al 3.18, 4 Y 3.34-3.52
Y 0.2590 0.6355 0.7508  1 Al 3.18, 4 Y 3.34-3.52
Y 0.3575 0.8931 0.9944  4 Y 3.19-3.56, 2 Sm 3.20-3.55
Y 0.3645 0.2492 0.7410  1 Al 3.18, 4 Y 3.34-3.52
Y 0.6355 0.7508 0.2590  1 Al 3.18, 4 Y 3.34-3.52
Y 0.6425 0.1069 0.0057  4 Y 3.19-3.56, 2 Sm 3.20-3.55
Y 0.7410 0.3645 0.2492  1 Al 3.18, 4 Y 3.34-3.52
Y 0.7508 0.2590 0.6355  1 Al 3.18, 4 Y 3.34-3.52
Y 0.8931 0.9943 0.3575  4 Y 3.19-3.56, 2 Sm 3.20-3.55
Y 0.9943 0.3575 0.8931  4 Y 3.19-3.56, 2 Sm 3.20-3.55
Al 0.5000 0.5000 0.5000  6 Y 3.18

## Properties
- Density: 5.41 g/cm³
- Total energy: -5.542 eV/atom
- Calculated formation energy: 0.176 eV/atom
- Space-group type: R-3
- Crystal system: trigonal

Compound: Sm12Y5Al3
Source: Alexandria
Functional: PBE
Structure: optimized geometry

a b c (Å): 15.8067 15.8067 15.8067
angles (deg): 109.47 109.47 109.47
With the nearest neighbours (Å) after each atom.
Element x y z (fractional)
Sm 0.0685 0.6455 0.4105  2 Al 3.08-3.36, 1 Sm 3.10, 2 Y 3.16-3.20
Sm 0.0685 0.9229 0.6580  2 Al 3.08-3.36, 1 Sm 3.10, 2 Y 3.16-3.20
Sm 0.0771 0.2351 0.1455  2 Al 3.08-3.36, 1 Sm 3.10, 2 Y 3.16-3.20
Sm 0.0771 0.3420 0.9315  2 Al 3.08-3.36, 1 Sm 3.10, 2 Y 3.16-3.20
Sm 0.0895 0.7351 0.6580  2 Al 3.08-3.36, 1 Sm 3.10, 2 Y 3.16-3.20
Sm 0.0895 0.8545 0.4315  2 Al 3.08-3.36, 1 Sm 3.10, 2 Y 3.16-3.20
Sm 0.1455 0.0771 0.2351  2 Al 3.08-3.36, 1 Sm 3.10, 2 Y 3.16-3.20
Sm 0.1455 0.5685 0.9105  2 Al 3.08-3.36, 1 Sm 3.10, 2 Y 3.16-3.20
Sm 0.1580 0.2351 0.5895  2 Al 3.08-3.36, 1 Sm 3.10, 2 Y 3.16-3.20
Sm 0.1580 0.4229 0.5685  2 Al 3.08-3.36, 1 Sm 3.10, 2 Y 3.16-3.20
Sm 0.2351 0.1455 0.0771  2 Al 3.08-3.36, 1 Sm 3.10, 2 Y 3.16-3.20
Sm 0.2351 0.5895 0.1580  2 Al 3.08-3.36, 1 Sm 3.10, 2 Y 3.16-3.20
Sm 0.2649 0.3420 0.9105  2 Al 3.08-3.36, 1 Sm 3.10, 2 Y 3.16-3.20
Sm 0.2649 0.4229 0.3545  2 Al 3.08-3.36, 1 Sm 3.10, 2 Y 3.16-3.20
Sm 0.3420 0.9105 0.2649  2 Al 3.08-3.36, 1 Sm 3.10, 2 Y 3.16-3.20
Sm 0.3420 0.9315 0.0771  2 Al 3.08-3.36, 1 Sm 3.10, 2 Y 3.16-3.20
Sm 0.3545 0.2649 0.4229  2 Al 3.08-3.36, 1 Sm 3.10, 2 Y 3.16-3.20
Sm 0.3545 0.5895 0.9315  2 Al 3.08-3.36, 1 Sm 3.10, 2 Y 3.16-3.20
Sm 0.4105 0.0685 0.6455  2 Al 3.08-3.36, 1 Sm 3.10, 2 Y 3.16-3.20
Sm 0.4105 0.8420 0.7649  2 Al 3.08-3.36, 1 Sm 3.10, 2 Y 3.16-3.20
Sm 0.4229 0.3545 0.2649  2 Al 3.08-3.36, 1 Sm 3.10, 2 Y 3.16-3.20
Sm 0.4229 0.5685 0.1580  2 Al 3.08-3.36, 1 Sm 3.10, 2 Y 3.16-3.20
Sm 0.4315 0.0895 0.8545  2 Al 3.08-3.36, 1 Sm 3.10, 2 Y 3.16-3.20
Sm 0.4315 0.8420 0.5771  2 Al 3.08-3.36, 1 Sm 3.10, 2 Y 3.16-3.20
Sm 0.5685 0.1580 0.4229  2 Al 3.08-3.36, 1 Sm 3.10, 2 Y 3.16-3.20
Sm 0.5685 0.9105 0.1455  2 Al 3.08-3.36, 1 Sm 3.10, 2 Y 3.16-3.20
Sm 0.5771 0.4315 0.8420  2 Al 3.08-3.36, 1 Sm 3.10, 2 Y 3.16-3.20
Sm 0.5771 0.6455 0.7351  2 Al 3.08-3.36, 1 Sm 3.10, 2 Y 3.16-3.20
Sm 0.5895 0.1580 0.2351  2 Al 3.08-3.36, 1 Sm 3.10, 2 Y 3.16-3.20
Sm 0.5895 0.9315 0.3545  2 Al 3.08-3.36, 1 Sm 3.10, 2 Y 3.16-3.20
Sm 0.6455 0.4105 0.0685  2 Al 3.08-3.36, 1 Sm 3.10, 2 Y 3.16-3.20
Sm 0.6455 0.7351 0.5771  2 Al 3.08-3.36, 1 Sm 3.10, 2 Y 3.16-3.20
Sm 0.6580 0.0685 0.9229  2 Al 3.08-3.36, 1 Sm 3.10, 2 Y 3.16-3.20
Sm 0.6580 0.0895 0.7351  2 Al 3.08-3.36, 1 Sm 3.10, 2 Y 3.16-3.20
Sm 0.7351 0.5771 0.6455  2 Al 3.08-3.36, 1 Sm 3.10, 2 Y 3.16-3.20
Sm 0.7351 0.6580 0.0895  2 Al 3.08-3.36, 1 Sm 3.10, 2 Y 3.16-3.20
Sm 0.7649 0.4105 0.8420  2 Al 3.08-3.36, 1 Sm 3.10, 2 Y 3.16-3.20
Sm 0.7649 0.8545 0.9229  2 Al 3.08-3.36, 1 Sm 3.10, 2 Y 3.16-3.20
Sm 0.8420 0.5771 0.4315  2 Al 3.08-3.36, 1 Sm 3.10, 2 Y 3.16-3.20
Sm 0.8420 0.7649 0.4105  2 Al 3.08-3.36, 1 Sm 3.10, 2 Y 3.16-3.20
Sm 0.8545 0.4315 0.0895  2 Al 3.08-3.36, 1 Sm 3.10, 2 Y 3.16-3.20
Sm 0.8545 0.9229 0.7649  2 Al 3.08-3.36, 1 Sm 3.10, 2 Y 3.16-3.20
Sm 0.9105 0.1455 0.5685  2 Al 3.08-3.36, 1 Sm 3.10, 2 Y 3.16-3.20
Sm 0.9105 0.2649 0.3420  2 Al 3.08-3.36, 1 Sm 3.10, 2 Y 3.16-3.20
Sm 0.9229 0.6580 0.0685  2 Al 3.08-3.36, 1 Sm 3.10, 2 Y 3.16-3.20
Sm 0.9229 0.7649 0.8545  2 Al 3.08-3.36, 1 Sm 3.10, 2 Y 3.16-3.20
Sm 0.9315 0.0771 0.3420  2 Al 3.08-3.36, 1 Sm 3.10, 2 Y 3.16-3.20
Sm 0.9315 0.3545 0.5895  2 Al 3.08-3.36, 1 Sm 3.10, 2 Y 3.16-3.20
Y 0.0000 0.0000 0.0000  6 Sm 3.16
Y 0.0000 0.0000 0.5000  6 Sm 3.16
Y 0.0000 0.5000 0.0000  6 Sm 3.16
Y 0.0000 0.5000 0.5000  6 Sm 3.16
Y 0.1250 0.7500 0.8750  4 Sm 3.20
Y 0.1250 0.8750 0.2500  4 Sm 3.20
Y 0.2500 0.1250 0.8750  4 Sm 3.20
Y 0.2500 0.6250 0.3750  4 Sm 3.20
Y 0.3750 0.2500 0.6250  4 Sm 3.20
Y 0.3750 0.6250 0.7500  4 Sm 3.20
Y 0.5000 0.0000 0.0000  6 Sm 3.16
Y 0.5000 0.0000 0.5000  6 Sm 3.16
Y 0.5000 0.5000 0.0000  6 Sm 3.16
Y 0.5000 0.5000 0.5000  6 Sm 3.16
Y 0.6250 0.3750 0.2500  4 Sm 3.20
Y 0.6250 0.7500 0.3750  4 Sm 3.20
Y 0.7500 0.3750 0.6250  4 Sm 3.20
Y 0.7500 0.8750 0.1250  4 Sm 3.20
Y 0.8750 0.1250 0.7500  4 Sm 3.20
Y 0.8750 0.2500 0.1250  4 Sm 3.20
Al 0.1250 0.2500 0.3750  8 Sm 3.08-3.36
Al 0.1250 0.3750 0.7500  8 Sm 3.08-3.36
Al 0.2500 0.3750 0.1250  8 Sm 3.08-3.36
Al 0.2500 0.8750 0.6250  8 Sm 3.08-3.36
Al 0.3750 0.1250 0.2500  8 Sm 3.08-3.36
Al 0.3750 0.7500 0.1250  8 Sm 3.08-3.36
Al 0.6250 0.2500 0.8750  8 Sm 3.08-3.36
Al 0.6250 0.8750 0.7500  8 Sm 3.08-3.36
Al 0.7500 0.1250 0.3750  8 Sm 3.08-3.36
Al 0.7500 0.6250 0.8750  8 Sm 3.08-3.36
Al 0.8750 0.6250 0.2500  8 Sm 3.08-3.36
Al 0.8750 0.7500 0.6250  8 Sm 3.08-3.36

## Properties
- Density: 5.09 g/cm³
- Total energy: -4.200 eV/atom
- Calculated formation energy: 0.809 eV/atom
- Space-group type: Ia-3d
- Crystal system: cubic

Compound: Sm2Y2Al
Source: Alexandria
Functional: PBE
Structure: optimized geometry

a b c (Å): 12.0122 12.0122 12.0122
angles (deg): 163.01 163.01 24.11
With the nearest neighbours (Å) after each atom.
Element x y z (fractional)
Sm 0.1940 0.1940 0.0000  8 Sm 3.55-3.64, 4 Y 3.65
Sm 0.8060 0.8060 0.0000  8 Sm 3.55-3.64, 4 Y 3.65
Y 0.4188 0.4188 0.0000  4 Al 3.15
Y 0.5812 0.5812 0.0000  4 Al 3.15
Al 0.0000 0.0000 0.0000  8 Y 3.15

## Properties
- Density: 5.67 g/cm³
- Total energy: -5.382 eV/atom
- Calculated formation energy: -0.160 eV/atom
- Space-group type: I4/mmm
- Crystal system: tetragonal

Compound: Sm2YAl
Source: Alexandria
Functional: PBE
Structure: optimized geometry

a b c (Å): 5.4284 5.4284 5.4284
angles (deg): 60.00 60.00 60.00
With the nearest neighbours (Å) after each atom.
Element x y z (fractional)
Sm 0.2500 0.2500 0.2500  4 Al 3.32, 4 Y 3.32
Sm 0.7500 0.7500 0.7500  4 Al 3.32, 4 Y 3.32
Y 0.0000 0.0000 0.0000  8 Sm 3.32
Al 0.5000 0.5000 0.5000  8 Sm 3.32

## Properties
- Density: 6.12 g/cm³
- Total energy: -4.953 eV/atom
- Calculated formation energy: -0.042 eV/atom
- Space-group type: Fm-3m
- Crystal system: cubic

Compound: Sm4Y2Al
Source: Alexandria
Functional: PBE
Structure: optimized geometry

a b c (Å): 19.3469 19.3469 19.3469
angles (deg): 10.85 10.85 10.85
With the nearest neighbours (Å) after each atom.
Element x y z (fractional)
Sm 0.0923 0.0923 0.0923  3 Y 3.56, 9 Sm 3.66-3.70
Sm 0.2938 0.2938 0.2938  3 Al 3.11
Sm 0.7062 0.7062 0.7062  3 Al 3.11
Sm 0.9077 0.9077 0.9077  3 Y 3.56, 9 Sm 3.66-3.70
Y 0.1913 0.1913 0.1913  9 Y 3.54-3.66, 3 Sm 3.56
Y 0.8087 0.8087 0.8087  9 Y 3.54-3.66, 3 Sm 3.56
Al 0.0000 0.0000 0.0000  6 Sm 3.11

## Properties
- Density: 6.01 g/cm³
- Total energy: -5.103 eV/atom
- Calculated formation energy: -0.025 eV/atom
- Space-group type: R-3m
- Crystal system: trigonal

Compound: Sm2Y8Al
Source: Alexandria
Functional: PBE
Structure: optimized geometry

a b c (Å): 10.0481 10.0481 6.4868
angles (deg): 93.93 93.93 31.84
With the nearest neighbours (Å) after each atom.
Element x y z (fractional)
Sm 0.2419 0.2419 0.3350  8 Y 3.44-3.68, 2 Sm 3.49
Sm 0.7581 0.7581 0.6650  8 Y 3.44-3.68, 2 Sm 3.49
Y 0.0422 0.0422 0.2525  2 Al 3.28, 5 Y 3.55-3.67
Y 0.1544 0.1544 0.8135  6 Y 3.37-3.70, 4 Sm 3.58-3.67
Y 0.3432 0.3432 0.8757  1 Al 3.08, 2 Y 3.41, 2 Sm 3.44
Y 0.4229 0.4229 0.3945  1 Al 3.05, 3 Y 3.19-3.37
Y 0.5771 0.5771 0.6055  1 Al 3.05, 3 Y 3.19-3.37
Y 0.6568 0.6568 0.1243  1 Al 3.08, 2 Y 3.41, 2 Sm 3.44
Y 0.8456 0.8456 0.1865  6 Y 3.37-3.70, 4 Sm 3.58-3.67
Y 0.9578 0.9578 0.7475  2 Al 3.28, 5 Y 3.55-3.67
Al 0.5000 0.5000 0.0000  8 Y 3.05-3.28

## Properties
- Density: 5.01 g/cm³
- Total energy: -5.943 eV/atom
- Calculated formation energy: -0.043 eV/atom
- Space-group type: C2/m
- Crystal system: monoclinic

Compound: Sm3Y2Al2
Source: Alexandria
Functional: PBE
Structure: optimized geometry

a b c (Å): 15.8807 15.8807 15.8807
angles (deg): 167.10 167.10 18.29
With the nearest neighbours (Å) after each atom.
Element x y z (fractional)
Sm 0.0000 0.0000 0.0000  8 Al 3.21, 4 Sm 3.57
Sm 0.1252 0.1252 0.0000  4 Al 3.19
Sm 0.8748 0.8748 0.0000  4 Al 3.19
Y 0.2899 0.2899 0.0000  8 Y 3.55-3.57, 4 Sm 3.67
Y 0.7101 0.7101 0.0000  8 Y 3.55-3.57, 4 Sm 3.67
Al 0.4368 0.4368 0.0000  8 Sm 3.19-3.21
Al 0.5632 0.5632 0.0000  8 Sm 3.19-3.21

## Properties
- Density: 5.68 g/cm³
- Total energy: -5.129 eV/atom
- Calculated formation energy: -0.190 eV/atom
- Space-group type: I4/mmm
- Crystal system: tetragonal